A relaxed Pm2Sb4Au crystal. Source: OQMD via LeMat-Bulk, functional PBE.

```
data_Pm2Sb4Au
_chemical_formula_sum 'Pm2 Sb4 Au1'
_symmetry_space_group_name_H-M 'P 1'
_symmetry_Int_Tables_number 1
_cell_length_a 4.4535
_cell_length_b 4.4535
_cell_length_c 9.8018
_cell_angle_alpha 90.00
_cell_angle_beta 90.00
_cell_angle_gamma 90.00
loop_
_symmetry_equiv_pos_as_xyz
'x,y,z'
loop_
_atom_site_label
_atom_site_type_symbol
_atom_site_fract_x
_atom_site_fract_y
_atom_site_fract_z
Pm1 Pm 0.0000 0.5000 0.7568
Pm2 Pm 0.5000 0.0000 0.2432
Sb1 Sb 0.0000 0.0000 0.5000
Sb2 Sb 0.5000 0.5000 0.5000
Sb3 Sb 0.0000 0.5000 0.1620
Sb4 Sb 0.5000 0.0000 0.8380
Au1 Au 0.0000 0.0000 0.0000
```

## Properties
Its total energy is -4.931 eV/atom.



A relaxed Hf2Sc4Al3N3 crystal. Source: OQMD via LeMat-Bulk, functional PBE.

```
data_Hf2Sc4Al3N3
_chemical_formula_sum 'Hf4 Sc8 Al6 N6'
_symmetry_space_group_name_H-M 'P 1'
_symmetry_Int_Tables_number 1
_cell_length_a 5.5651
_cell_length_b 5.5651
_cell_length_c 14.6800
_cell_angle_alpha 100.98
_cell_angle_beta 100.98
_cell_angle_gamma 60.05
loop_
_symmetry_equiv_pos_as_xyz
'x,y,z'
loop_
_atom_site_label
_atom_site_type_symbol
_atom_site_fract_x
_atom_site_fract_y
_atom_site_fract_z
Hf1 Hf 0.3579 0.5279 0.5838
Hf2 Hf 0.5279 0.3579 0.0838
Hf3 Hf 0.6421 0.4721 0.4162
Hf4 Hf 0.4721 0.6421 0.9162
Sc1 Sc 0.1339 0.3046 0.9131
Sc2 Sc 0.6954 0.8661 0.5869
Sc3 Sc 0.1920 0.0325 0.0869
Sc4 Sc 0.3046 0.1339 0.4131
Sc5 Sc 0.8661 0.6954 0.0869
Sc6 Sc 0.8080 0.9675 0.9131
Sc7 Sc 0.0325 0.1920 0.5869
Sc8 Sc 0.9675 0.8080 0.4131
Al1 Al 0.9020 0.0980 0.2500
Al2 Al 0.5817 0.7374 0.2494
Al3 Al 0.0980 0.9020 0.7500
Al4 Al 0.4183 0.2626 0.7506
Al5 Al 0.7374 0.5817 0.7494
Al6 Al 0.2626 0.4183 0.2506
N1 N 0.1738 0.6631 0.0000
N2 N 0.6631 0.1738 0.5000
N3 N 0.5000 0.0000 0.0000
N4 N 0.3369 0.8262 0.5000
N5 N 0.8262 0.3369 0.0000
N6 N 0.0000 0.5000 0.5000
```

## Properties
Its total energy is -7.921 eV/atom.



A relaxed NdGa5 crystal. Source: OQMD via LeMat-Bulk, functional PBE.

```
data_NdGa5
_chemical_formula_sum 'Nd1 Ga5'
_symmetry_space_group_name_H-M 'P 1'
_symmetry_Int_Tables_number 1
_cell_length_a 5.6391
_cell_length_b 5.6391
_cell_length_c 4.4524
_cell_angle_alpha 90.00
_cell_angle_beta 90.00
_cell_angle_gamma 120.00
loop_
_symmetry_equiv_pos_as_xyz
'x,y,z'
loop_
_atom_site_label
_atom_site_type_symbol
_atom_site_fract_x
_atom_site_fract_y
_atom_site_fract_z
Ga1 Ga 0.5000 0.5000 0.5000
Ga2 Ga 0.3333 0.6667 0.0000
Ga3 Ga 0.0000 0.5000 0.5000
Ga4 Ga 0.5000 0.0000 0.5000
Ga5 Ga 0.6667 0.3333 0.0000
Nd1 Nd 0.0000 0.0000 0.0000
```

## Properties
Its total energy is -3.550 eV/atom.



A relaxed HgAuNO crystal. Source: OQMD via LeMat-Bulk, functional PBE.

```
data_HgAuNO
_chemical_formula_sum 'Hg2 Au2 N2 O2'
_symmetry_space_group_name_H-M 'P 1'
_symmetry_Int_Tables_number 1
_cell_length_a 4.3043
_cell_length_b 4.3043
_cell_length_c 6.6222
_cell_angle_alpha 90.00
_cell_angle_beta 90.00
_cell_angle_gamma 90.00
loop_
_symmetry_equiv_pos_as_xyz
'x,y,z'
loop_
_atom_site_label
_atom_site_type_symbol
_atom_site_fract_x
_atom_site_fract_y
_atom_site_fract_z
O1 O 0.5000 0.0000 0.0000
O2 O 0.0000 0.5000 0.0000
N1 N 0.0000 0.0000 0.5645
N2 N 0.5000 0.5000 0.4355
Au1 Au 0.0000 0.5000 0.5000
Au2 Au 0.5000 0.0000 0.5000
Hg1 Hg 0.5000 0.5000 0.8885
Hg2 Hg 0.0000 0.0000 0.1115
```

## Properties
As for the energy above the most stable polymorph in this dataset: 231 meV/atom.



A relaxed Nb2Cd2O7 crystal. Source: OQMD via LeMat-Bulk, functional PBE.

```
data_Nb2Cd2O7
_chemical_formula_sum 'Nb4 Cd4 O14'
_symmetry_space_group_name_H-M 'P 1'
_symmetry_Int_Tables_number 1
_cell_length_a 7.3614
_cell_length_b 7.3972
_cell_length_c 7.3778
_cell_angle_alpha 120.09
_cell_angle_beta 119.93
_cell_angle_gamma 90.00
loop_
_symmetry_equiv_pos_as_xyz
'x,y,z'
loop_
_atom_site_label
_atom_site_type_symbol
_atom_site_fract_x
_atom_site_fract_y
_atom_site_fract_z
Nb1 Nb 0.0071 0.9896 0.5142
Nb2 Nb 0.5000 0.9888 0.0000
Nb3 Nb 0.9929 0.4754 0.4858
Nb4 Nb 0.0000 0.9888 0.0000
O1 O 0.6806 0.9390 0.8612
O2 O 0.3757 0.6288 0.2515
O3 O 0.6747 0.3254 0.2481
O4 O 0.9266 0.0773 0.7519
O5 O 0.3194 0.0778 0.1388
O6 O 0.0723 0.3233 0.6447
O7 O 0.9277 0.6786 0.3553
O8 O 0.9315 0.6850 0.7452
O9 O 0.3253 0.0773 0.7519
O10 O 0.0685 0.9398 0.2548
O11 O 0.6243 0.3773 0.7485
O12 O 0.0734 0.3254 0.2481
O13 O 0.3137 0.6850 0.7452
O14 O 0.6863 0.9398 0.2548
Cd1 Cd 0.5048 0.0024 0.5097
Cd2 Cd 0.4952 0.4927 0.4903
Cd3 Cd 0.5000 0.4911 0.0000
Cd4 Cd 0.0000 0.4911 0.0000
```

## Properties
Its total energy is -7.170 eV/atom.



A relaxed Cu2B2Pd crystal. Source: OQMD via LeMat-Bulk, functional PBE.

```
data_Cu2B2Pd
_chemical_formula_sum 'Cu2 B2 Pd1'
_symmetry_space_group_name_H-M 'P 1'
_symmetry_Int_Tables_number 1
_cell_length_a 6.3681
_cell_length_b 6.3681
_cell_length_c 6.3681
_cell_angle_alpha 153.27
_cell_angle_beta 153.27
_cell_angle_gamma 38.16
loop_
_symmetry_equiv_pos_as_xyz
'x,y,z'
loop_
_atom_site_label
_atom_site_type_symbol
_atom_site_fract_x
_atom_site_fract_y
_atom_site_fract_z
B1 B 0.2500 0.7500 0.5000
B2 B 0.7500 0.2500 0.5000
Pd1 Pd 0.0000 0.0000 0.0000
Cu1 Cu 0.3729 0.3729 0.0000
Cu2 Cu 0.6271 0.6271 0.0000
```

## Properties
As for the energy above the most stable polymorph in this dataset: 187 meV/atom.



A relaxed YEr4Ag5 crystal. Source: OQMD via LeMat-Bulk, functional PBE.

```
data_YEr4Ag5
_chemical_formula_sum 'Y1 Er4 Ag5'
_symmetry_space_group_name_H-M 'P 1'
_symmetry_Int_Tables_number 1
_cell_length_a 3.5959
_cell_length_b 3.5959
_cell_length_c 18.0298
_cell_angle_alpha 90.00
_cell_angle_beta 90.00
_cell_angle_gamma 90.00
loop_
_symmetry_equiv_pos_as_xyz
'x,y,z'
loop_
_atom_site_label
_atom_site_type_symbol
_atom_site_fract_x
_atom_site_fract_y
_atom_site_fract_z
Ag1 Ag 0.5000 0.5000 0.6992
Ag2 Ag 0.5000 0.5000 0.8970
Ag3 Ag 0.5000 0.5000 0.5000
Ag4 Ag 0.5000 0.5000 0.3008
Ag5 Ag 0.5000 0.5000 0.1030
Er1 Er 0.0000 0.0000 0.7985
Er2 Er 0.0000 0.0000 0.4005
Er3 Er 0.0000 0.0000 0.2015
Er4 Er 0.0000 0.0000 0.5995
Y1 Y 0.0000 0.0000 0.0000
```

## Properties
As for the calculated formation energy: -0.345 eV per atom.



A relaxed Zr2Sc4Si3N3 crystal. Source: OQMD via LeMat-Bulk, functional PBE.

```
data_Zr2Sc4Si3N3
_chemical_formula_sum 'Zr4 Sc8 Si6 N6'
_symmetry_space_group_name_H-M 'P 1'
_symmetry_Int_Tables_number 1
_cell_length_a 5.6073
_cell_length_b 5.6073
_cell_length_c 13.8601
_cell_angle_alpha 101.64
_cell_angle_beta 101.64
_cell_angle_gamma 60.11
loop_
_symmetry_equiv_pos_as_xyz
'x,y,z'
loop_
_atom_site_label
_atom_site_type_symbol
_atom_site_fract_x
_atom_site_fract_y
_atom_site_fract_z
Zr1 Zr 0.6411 0.4630 0.4064
Zr2 Zr 0.5370 0.3589 0.0936
Zr3 Zr 0.3589 0.5370 0.5936
Zr4 Zr 0.4630 0.6411 0.9064
Si1 Si 0.5216 0.7611 0.2499
Si2 Si 0.7611 0.5216 0.7499
Si3 Si 0.0369 0.9631 0.7500
Si4 Si 0.2389 0.4784 0.2501
Si5 Si 0.9631 0.0369 0.2500
Si6 Si 0.4784 0.2389 0.7501
Sc1 Sc 0.8601 0.6971 0.0910
Sc2 Sc 0.1940 0.0375 0.0911
Sc3 Sc 0.1399 0.3029 0.9090
Sc4 Sc 0.9625 0.8060 0.4089
Sc5 Sc 0.0375 0.1940 0.5911
Sc6 Sc 0.3029 0.1399 0.4090
Sc7 Sc 0.6971 0.8601 0.5910
Sc8 Sc 0.8060 0.9625 0.9089
N1 N 0.8353 0.3334 0.0003
N2 N 0.3334 0.8353 0.5003
N3 N 0.6666 0.1647 0.4997
N4 N 0.5000 0.0000 0.0000
N5 N 0.1647 0.6666 0.9997
N6 N 0.0000 0.5000 0.5000
```

## Properties
Its total energy is -8.189 eV/atom.